This record from the Alexandria database describes an optimized crystal structure of Hf3TiH8. The functional is PBE.

## Properties
The calculation puts the total DFT energy (no corrections) at -5.888 eV per atom. The calculation puts the volume at 99 Å³ per cell.

Cell and atoms, written as extended XYZ:
```
12
Lattice="4.415 0.000 -1.975 -0.884 4.326 -1.975 -0.218 -0.267 5.435" Properties=species:S:1:pos:R:3 pbc="T T T"
H 3.047 3.732 -2.145
Hf 0.332 3.111 0.742
H 2.528 0.327 2.618
H 0.785 3.732 -1.133
H -0.186 2.542 2.618
H 2.076 2.542 1.606
H 3.500 1.516 -1.133
H 0.267 0.327 3.630
Hf 2.981 0.948 0.742
Ti 0.000 0.000 0.000
H 1.238 1.516 -0.121
Hf 1.766 2.163 -1.975
```

This record from the Alexandria database describes an optimized crystal structure of SrAuSe2. The functional is PBE.

## Properties
The value obtained for the polymorph energy (0 for the lowest one) is 0.1103 eV per atom. The calculation puts the volume at 107 Å³ per cell. For the formation energy from raw total energies, the calculation gives -0.853 eV/atom.

Cell and atoms, written as extended XYZ:
```
4
Lattice="4.576 -0.290 0.226 1.180 4.431 0.226 1.906 1.372 5.354" Properties=species:S:1:pos:R:3 pbc="T T T"
Se 2.203 1.585 5.376
Sr 5.746 4.134 4.355
Se 3.534 2.543 2.882
Au 1.915 1.378 1.452
```

This record from the Alexandria database describes an optimized crystal structure of AgBr. The functional is PBE.

## Properties
The calculation puts the volume at 458 Å³ per cell. For the formation energy from raw total energies, the calculation gives -0.313 eV/atom.

Cell and atoms, written as extended XYZ:
```
12
Lattice="10.749 0.000 0.000 -5.375 9.309 0.000 0.000 0.000 4.582" Properties=species:S:1:pos:R:3 pbc="T T T"
Ag 3.969 5.514 1.145
Br -1.253 3.783 3.436
Ag 1.405 3.795 3.436
Br 6.628 5.526 1.145
Ag 3.989 0.680 1.145
Ag 8.165 3.114 1.145
Ag 1.386 8.629 3.436
Br 2.649 2.977 1.145
Br 6.846 0.806 1.145
Ag -2.791 6.195 3.436
Br -1.472 8.503 3.436
Br 2.725 6.332 3.436
```